## a
AcHoPa: relaxed, GGA-PBE.

Cell lengths 3.5548, 3.5548, 8.8510 Å; angles 90.00, 90.00, 120.00 degrees
Closest atoms and distances in Å follow each position.
Positions (direct):
Ac  0.3333  0.6667  0.6800  3 Pa 3.55, 6 Ac 3.55, 3 Ho 3.85
Pa  0.0000  0.0000  0.0075  3 Ho 3.39, 3 Ac 3.55, 6 Pa 3.55
Ho  0.6667  0.3333  0.3125  3 Pa 3.39, 6 Ho 3.55

ρ, g/cm3: 10.7

## b
AcHoPa: relaxed, GGA-PBE.

Cell lengths 3.6008, 3.6008, 15.0809 Å; angles 90.00, 90.00, 90.00 degrees
Closest atoms and distances in Å follow each position.
Positions (direct):
Ho  0.0000  0.5000  0.5776  8 Ho 3.46-3.60, 4 Ac 3.86
Ho  0.5000  0.0000  0.4224  8 Ho 3.46-3.60, 4 Ac 3.86
Ac  0.5000  0.0000  0.7697  4 Pa 3.57, 4 Ac 3.60, 4 Ho 3.86
Ac  0.0000  0.5000  0.2303  4 Pa 3.57, 4 Ac 3.60, 4 Ho 3.86
Pa  0.0000  0.5000  0.9354  4 Pa 3.21, 4 Ac 3.57
Pa  0.5000  0.0000  0.0646  4 Pa 3.21, 4 Ac 3.57

ρ, g/cm3: 10.6

Which one sits at the top of the stability order? b does.

## a
Ac2HoPb: relaxed, GGA-PBE.

Cell lengths 5.1601, 5.2319, 5.2319 Å; angles 90.00, 90.00, 90.00 degrees
Closest atoms and distances in Å follow each position.
Positions (direct):
Pb  0.5000  0.0000  0.0000  8 Ac 3.67, 4 Ho 3.70
Ac  0.0000  0.0000  0.5000  4 Pb 3.67, 4 Ho 3.67, 4 Ac 3.70
Ac  0.0000  0.5000  0.0000  4 Pb 3.67, 4 Ho 3.67, 4 Ac 3.70
Ho  0.5000  0.5000  0.5000  8 Ac 3.67, 4 Pb 3.70

ρ, g/cm3: 9.7

## b
Ac2HoPb: relaxed, GGA-PBE.

Cell lengths 3.6921, 3.6921, 13.0036 Å; angles 81.84, 81.84, 60.00 degrees
Closest atoms and distances in Å follow each position.
Positions (direct):
Pb  0.5000  0.5000  0.5000  6 Ac 3.62, 6 Pb 3.69
Ac  0.0908  0.0908  0.7277  1 Ho 3.49, 3 Pb 3.62, 6 Ac 3.69
Ac  0.9092  0.9092  0.2723  1 Ho 3.49, 3 Pb 3.62, 6 Ac 3.69
Ho  0.0000  0.0000  0.0000  2 Ac 3.49, 6 Ho 3.69

ρ, g/cm3: 9.1

## c
Ac2HoPb: relaxed, GGA-PBE.

Cell lengths 5.9125, 5.9125, 5.9125 Å; angles 60.00, 60.00, 60.00 degrees
Closest atoms and distances in Å follow each position.
Positions (direct):
Pb  0.5000  0.5000  0.5000  8 Ac 3.62
Ac  0.2500  0.2500  0.2500  4 Pb 3.62, 4 Ho 3.62
Ac  0.7500  0.7500  0.7500  4 Pb 3.62, 4 Ho 3.62
Ho  0.0000  0.0000  0.0000  8 Ac 3.62

ρ, g/cm3: 9.4

Which one sits at the top of the stability order? a does.

## a
Ac2HoPb2: relaxed, GGA-PBE.

Cell lengths 4.9924, 8.4565, 8.4565 Å; angles 90.00, 90.00, 90.00 degrees
Closest atoms and distances in Å follow each position.
Positions (direct):
Ac  0.5000  0.1715  0.6715  6 Pb 3.41-3.61
Ac  0.5000  0.6715  0.8285  6 Pb 3.41-3.61
Ac  0.5000  0.8285  0.3285  6 Pb 3.41-3.61
Ac  0.5000  0.3285  0.1715  6 Pb 3.41-3.61
Ho  0.0000  0.0000  0.0000  4 Pb 3.29
Ho  0.0000  0.5000  0.5000  4 Pb 3.29
Pb  0.0000  0.3652  0.8652  1 Pb 3.22, 2 Ho 3.29, 2 Ac 3.41
Pb  0.0000  0.8652  0.6348  1 Pb 3.22, 2 Ho 3.29, 2 Ac 3.41
Pb  0.0000  0.6348  0.1348  1 Pb 3.22, 2 Ho 3.29, 2 Ac 3.41
Pb  0.0000  0.1348  0.3652  1 Pb 3.22, 2 Ho 3.29, 2 Ac 3.41

ρ, g/cm3: 9.6

## b
Ac2HoPb2: relaxed, GGA-PBE.

Cell lengths 5.3329, 7.0169, 10.0949 Å; angles 90.00, 105.32, 90.00 degrees
Closest atoms and distances in Å follow each position.
Positions (direct):
Ac  0.9996  0.7273  0.9993  2 Ac 3.51, 6 Pb 3.52-3.93, 4 Ho 3.75
Ac  0.8031  0.4760  0.6062  6 Pb 3.52-3.59, 1 Ho 3.93
Ac  0.1969  0.9760  0.3938  6 Pb 3.52-3.59, 1 Ho 3.93
Ac  0.0004  0.2273  0.0007  2 Ac 3.51, 6 Pb 3.52-3.93, 4 Ho 3.75
Ho  0.3988  0.9782  0.7977  2 Pb 3.08
Ho  0.6012  0.4782  0.2023  2 Pb 3.08
Pb  0.4242  0.4768  0.8484  3 Ho 3.45-3.55, 6 Ac 3.52-3.56
Pb  0.8201  0.9761  0.6401  2 Ho 3.08
Pb  0.1799  0.4761  0.3599  2 Ho 3.08
Pb  0.5758  0.9768  0.1516  3 Ho 3.45-3.55, 6 Ac 3.52-3.56

ρ, g/cm3: 9.4

Which one sits at the top of the stability order? a does.

## a
AcHoPd2: relaxed, GGA-PBE.

Cell lengths 4.3157, 4.3157, 7.1025 Å; angles 72.31, 72.31, 60.00 degrees
Closest atoms and distances in Å follow each position.
Positions (direct):
Ac  0.5000  0.5000  0.5000  6 Pd 3.12
Ho  0.0000  0.0000  0.0000  6 Pd 2.88
Pd  0.7390  0.7390  0.7829  3 Ho 2.88, 3 Ac 3.12
Pd  0.2610  0.2610  0.2171  3 Ho 2.88, 3 Ac 3.12

ρ, g/cm3: 9.4

## b
AcHoPd2: relaxed, GGA-PBE.

Cell lengths 3.9404, 4.6530, 5.8595 Å; angles 90.00, 109.61, 90.00 degrees
Closest atoms and distances in Å follow each position.
Positions (direct):
Ac  0.4435  0.5000  0.4253  7 Pd 3.00-3.20
Ho  0.7146  0.0000  0.9688  7 Pd 3.07-3.17
Pd  0.1706  0.5000  0.8814  2 Pd 2.99, 3 Ac 3.00-3.20, 4 Ho 3.09
Pd  0.0023  0.0000  0.5425  2 Pd 2.99, 3 Ho 3.07-3.17, 4 Ac 3.12

ρ, g/cm3: 9.9

## c
AcHoPd2: relaxed, GGA-PBE.

Cell lengths 4.1821, 4.1821, 7.5887 Å; angles 74.01, 74.01, 60.00 degrees
Closest atoms and distances in Å follow each position.
Positions (direct):
Ac  0.4965  0.4965  0.5105  6 Pd 3.08-3.18
Ho  0.6700  0.6700  0.9898  6 Pd 2.86-2.94
Pd  0.0747  0.0747  0.7759  3 Ho 2.86, 3 Ac 3.08
Pd  0.2588  0.2588  0.2237  3 Ho 2.94, 3 Ac 3.18

ρ, g/cm3: 9.2

Which one sits at the top of the stability order? b does.

## a
AcHoPd2: relaxed, GGA-PBE.

Cell lengths 3.6470, 3.6470, 7.2971 Å; angles 90.00, 90.00, 90.00 degrees
Closest atoms and distances in Å follow each position.
Positions (direct):
Ac  0.5000  0.5000  0.5000  8 Pd 3.32, 4 Ac 3.65, 2 Ho 3.65
Ho  0.5000  0.5000  0.0000  8 Pd 3.01
Pd  0.0000  0.0000  0.7864  4 Ho 3.01, 1 Pd 3.12, 4 Ac 3.32
Pd  0.0000  0.0000  0.2136  4 Ho 3.01, 1 Pd 3.12, 4 Ac 3.32

ρ, g/cm3: 10.3

## b
AcHoPd2: relaxed, GGA-PBE.

Cell lengths 5.1831, 5.1831, 5.1831 Å; angles 60.00, 60.00, 60.00 degrees
Closest atoms and distances in Å follow each position.
Positions (direct):
Ac  0.5000  0.5000  0.5000  8 Pd 3.17
Ho  0.0000  0.0000  0.0000  8 Pd 3.17
Pd  0.2500  0.2500  0.2500  4 Ac 3.17, 4 Ho 3.17
Pd  0.7500  0.7500  0.7500  4 Ac 3.17, 4 Ho 3.17

ρ, g/cm3: 10.2

Which one sits at the top of the stability order? a does.

## a
AcHoPdPt: relaxed, GGA-PBE.

Cell lengths 4.7535, 4.7576, 5.9048 Å; angles 113.74, 90.00, 119.97 degrees
Closest atoms and distances in Å follow each position.
Positions (direct):
Ac  0.6175  0.2350  0.4947  4 Pt 3.27-3.44, 4 Pd 3.28-3.43
Ho  0.1149  0.2297  0.9867  3 Pt 2.86, 3 Pd 2.88
Pd  0.8360  0.6720  0.1498  3 Ho 2.88, 3 Pt 3.20
Pt  0.3979  0.7958  0.8362  3 Ho 2.86, 2 Pd 3.20

ρ, g/cm3: 11.2

## b
AcHoPdPt: relaxed, GGA-PBE.

Cell lengths 5.1634, 5.1634, 5.1634 Å; angles 60.00, 60.00, 60.00 degrees
Closest atoms and distances in Å follow each position.
Positions (direct):
Ac  0.5000  0.5000  0.5000  4 Pd 3.16, 4 Pt 3.16
Pd  0.2500  0.2500  0.2500  4 Ac 3.16, 4 Ho 3.16
Ho  0.0000  0.0000  0.0000  4 Pt 3.16, 4 Pd 3.16
Pt  0.7500  0.7500  0.7500  4 Ac 3.16, 4 Ho 3.16

ρ, g/cm3: 11.8

Which one sits at the top of the stability order? a does.